Entry 1:
Al2ReNi2 GGA-PBE optimized geometry; energy relative to the elements = -286 meV per atom
1.0
6.940 0.000 0.000
0.000 6.940 0.000
0.000 0.000 2.647
Re Al Ni
2 4 4
direct
0.500 0.500 0.000 Re
0.000 0.000 0.000 Re
0.359 0.859 0.000 Al
0.859 0.641 0.000 Al
0.141 0.359 0.000 Al
0.641 0.141 0.000 Al
0.344 0.156 0.500 Ni
0.656 0.844 0.500 Ni
0.156 0.656 0.500 Ni
0.844 0.344 0.500 Ni

=====

Entry 2:
SrAlRe2Ni GGA-PBE optimized geometry; energy relative to the elements = 3015 meV per atom
1.0
-2.269 1.832 -3.953
2.569 -2.584 -2.672
-3.344 -3.589 0.257
Al Re Ni Sr
1 2 1 1
direct
0.500 0.500 0.500 Al
0.500 0.000 0.000 Re
0.000 0.000 0.500 Re
0.000 0.500 0.000 Ni
0.000 0.000 0.000 Sr

=====

Entry 3:
TaAlReNi GGA-PBE optimized geometry; energy relative to the elements = -301 meV per atom
1.0
4.367 0.000 0.000
2.183 3.782 0.000
2.183 1.261 3.565
Re Ni Al Ta
1 1 1 1
direct
0.750 0.750 0.750 Re
0.250 0.250 0.250 Ni
0.000 0.000 0.000 Al
0.500 0.500 0.500 Ta

=====

Entry 4:
AlReTcNi GGA-PBE optimized geometry; energy relative to the elements = -135 meV per atom
1.0
4.264 0.000 0.000
2.132 3.693 0.000
2.132 1.231 3.481
Re Ni Al Tc
1 1 1 1
direct
0.250 0.250 0.250 Re
0.000 0.000 0.000 Ni
0.750 0.750 0.750 Al
0.500 0.500 0.500 Tc

=====

Entry 5:
TiAlReNi GGA-PBE optimized geometry; energy relative to the elements = -399 meV per atom
1.0
-3.183 -0.413 2.841
0.536 -2.449 3.477
0.332 1.815 3.869
Ni Re Al Ti
1 1 1 1
direct
0.500 0.500 0.500 Ni
0.000 0.000 0.000 Re
0.250 0.250 0.250 Al
0.750 0.750 0.750 Ti

=====

Entry 6:
AlNi6Rh GGA-PBE optimized geometry; energy relative to the elements = -193 meV per atom
1.0
6.226 0.002 0.000
-2.090 5.865 0.000
0.000 0.000 10.171
Ni Rh Al
24 4 4
direct
0.624 0.872 0.123 Ni
0.128 0.376 0.377 Ni
0.376 0.128 0.123 Ni
0.623 0.874 0.873 Ni
0.623 0.874 0.627 Ni
0.377 0.126 0.627 Ni
0.377 0.126 0.873 Ni
0.251 0.749 0.502 Ni
0.872 0.624 0.377 Ni
0.128 0.376 0.123 Ni
0.000 0.000 0.250 Ni
0.874 0.623 0.627 Ni
0.749 0.251 0.998 Ni
0.872 0.624 0.123 Ni
0.000 0.000 0.750 Ni
0.126 0.377 0.627 Ni
0.376 0.128 0.377 Ni
0.500 0.500 0.750 Ni
0.126 0.377 0.873 Ni
0.749 0.251 0.502 Ni
0.624 0.872 0.377 Ni
0.500 0.500 0.250 Ni
0.874 0.623 0.873 Ni
0.251 0.749 0.998 Ni
0.749 0.251 0.250 Rh
0.000 0.000 0.501 Rh
0.251 0.749 0.250 Rh
0.000 0.000 0.999 Rh
0.250 0.750 0.750 Al
0.500 0.500 0.998 Al
0.750 0.250 0.750 Al
0.500 0.500 0.502 Al